The following is a PBE with a Hubbard U calculation of an optimized crystal structure of BaPuMo2O8, from Alexandria via LeMat-Bulk.

Values from the calculation:
Calculated volume (Å³/f.u.): 238.60
Fermi-level density of states (states/eV/f.u.): 5.97
VASP energy (eV/cell): -95.9

Geometry as POSCAR:
```
BaPuMo2O8
1.0
-5.825 -1.368 0.629
3.508 -3.344 -3.565
1.695 -4.507 5.895
O Ba Mo Pu
8 1 2 1
direct
0.836 0.165 0.301
0.667 0.333 0.991
0.164 0.835 0.699
0.329 0.164 0.301
0.333 0.667 0.009
0.165 0.329 0.699
0.671 0.836 0.699
0.835 0.671 0.301
0.000 0.000 0.000
0.667 0.333 0.225
0.333 0.667 0.775
0.000 0.000 0.500
```